No. 1
16
Lattice="1.759 -5.612 0.000 1.759 5.612 0.000 0.000 0.000 11.212" Properties=species:S:1:pos:R:3 comment="LiPmU2N4 (PBE-GGA, relaxed)" spacegroup="Cmcm (63)" dos_at_fermi_per_ev_cell=13.50 e_tot_ev_per_atom=-9.05 raw_formation_energy_ev_per_atom=-1.233 pbc="T T T"
Li 1.759 3.801 8.409
Li 1.759 -3.801 2.803
Pm 1.759 4.419 2.803
Pm 1.759 -4.419 8.409
U 1.759 1.440 0.657
U 1.759 1.440 4.949
U 1.759 -1.440 6.263
U 1.759 -1.440 10.555
N 0.000 0.000 0.000
N 0.000 0.000 5.606
N 1.759 2.662 6.832
N 1.759 2.662 9.987
N 1.759 0.632 2.803
N 1.759 -0.632 8.409
N 1.759 -2.662 1.226
N 1.759 -2.662 4.380

***

No. 2
16
Lattice="5.421 0.000 0.000 0.000 5.421 0.000 0.000 0.000 6.809" Properties=species:S:1:pos:R:3 comment="Li2PmWN4 (PBE-GGA, relaxed)" spacegroup="I-42m (121)" dos_at_fermi_per_ev_cell=9.21 e_tot_ev_per_atom=-7.57 raw_formation_energy_ev_per_atom=-0.715 pbc="T T T"
Li 0.000 2.711 1.702
Li 0.000 2.711 5.107
Li 2.711 0.000 1.702
Li 2.711 0.000 5.107
Pm 0.000 0.000 0.000
Pm 2.711 2.711 3.405
W 0.000 0.000 3.405
W 2.711 2.711 0.000
N 1.102 1.102 4.461
N 1.102 4.319 2.348
N 1.608 1.608 1.056
N 1.608 3.813 5.753
N 3.813 1.608 5.753
N 3.813 3.813 1.056
N 4.319 1.102 2.348
N 4.319 4.319 4.461